{
  "formula": "K2AcVF6",
  "functional": "PBE with a Hubbard U",
  "state": "relaxed",
  "lattice_angstrom": [[5.9838, 0.0000, 0.0000], [0.0000, 8.9623, 0.0000], [0.0000, 0.0000, 7.1146]],
  "species": ["K", "K", "K", "K", "Ac", "Ac", "V", "V", "F", "F", "F", "F", "F", "F", "F", "F", "F", "F", "F", "F"],
  "fractional_positions": [[0.2500, 0.0361, 0.1742], [0.2500, 0.4639, 0.1742], [0.7500, 0.5361, 0.8258], [0.7500, 0.9639, 0.8258], [0.2500, 0.2500, 0.6850], [0.7500, 0.7500, 0.3150], [0.2500, 0.7500, 0.7970], [0.7500, 0.2500, 0.2030], [0.0016, 0.2500, 0.9842], [0.0224, 0.2500, 0.3955], [0.2500, 0.5096, 0.7975], [0.2500, 0.9904, 0.7975], [0.4776, 0.2500, 0.3955], [0.4984, 0.2500, 0.9842], [0.5016, 0.7500, 0.0158], [0.5224, 0.7500, 0.6045], [0.7500, 0.0096, 0.2025], [0.7500, 0.4904, 0.2025], [0.9776, 0.7500, 0.6045], [0.9984, 0.7500, 0.0158]],
  "m_tot_mub_per_fu": 3.0,
  "dft_energy_ev_per_atom": -5.441,
  "crystal_system": "orthorhombic"
}